Here is a relaxed structure of CuIr2Pb from the Alexandria database. Energies are from PBEsol.

Computed properties:
Density of states at the Fermi level   2.05 states/eV/f.u.
Formation energy from the elements   463 meV/atom
Total magnetization   0.00 μB/atom
Symmetry   No. 123

Structure (extended XYZ):
```
4
Lattice="3.187 0.000 0.000 0.000 3.187 0.000 0.000 0.000 6.107" Properties=species:S:1:pos:R:3 pbc="T T T"
Cu 0.000 0.000 0.000
Ir 1.593 1.593 1.356
Ir 1.593 1.593 4.751
Pb 0.000 0.000 3.054
```